This record from Alexandria describes a geometry-optimized Sm4DyGe4 structure. The functional is PBE-GGA.

Cell lengths 9.0855, 9.0855, 6.0016 Å; angles 90.00, 90.00, 90.00 degrees
Space group P4_2/n (No. 86, origin choice 2)
Inequivalent atoms, fractional coordinates:
Sm1 0.0553 0.6680 0.1260 (multiplicity 8)
Dy1 0.2500 0.2500 0.2500 (multiplicity 2)
Ge1 0.0182 0.6274 0.6184 (multiplicity 8)

Output
The calculation puts the volume at 495 Å³ per cell. The spin magnetization comes out at 0.0 μB per formula unit. The density of states at the Fermi level is 19.43 states/eV/cell. The calculation puts the formation energy at -56.9 kJ per mole of atoms.